Compound: Co2IrRh4
Source: Alexandria
Functional: PBE-GGA
Structure: optimized geometry

Calculated values
Magnetic moment, μB/f.u.: 5.76
Distance to the lowest polymorph of the same formula, meV/atom: 19
N(E_F), states/eV/f.u.: 13.07
Raw total energy, eV/cell: -200.80
Formation energy, eV/atom: 0.33

a b c (Å): 4.371 7.263 12.427
angles (deg): 90.00 90.00 90.00
Space group Cmcm (No. 63)
One atom of each set of equivalent atoms:
Co  0.000  0.154  0.051 x8
Ir  0.000  0.479  0.250 x4
Rh  0.000  0.141  0.250 x4
Rh  0.000  0.192  0.644 x8
Rh  0.000  0.500  0.000 x4



Compound: CoIrRh2
Source: Alexandria
Functional: PBE-GGA
Structure: optimized geometry

Calculated values
Magnetic moment, μB/f.u.: 1.97
Distance to the lowest polymorph of the same formula, meV/atom: 629
N(E_F), states/eV/f.u.: 5.60
Raw total energy, eV/cell: -84.20
Formation energy, eV/atom: 0.65

a b c (Å): 3.7833 3.7833 15.5057
angles (deg): 90.00 90.00 120.00
Space group R3m (No. 160, hexagonal axes)
One atom of each set of equivalent atoms:
Co  0.0000  0.0000  0.0000 x3
Ir  0.0000  0.0000  0.1648 x3
Rh  0.0000  0.0000  0.5796 x3
Rh  0.0000  0.0000  0.7439 x3



Q: Among the records above, which one has the highest distance to the lowest polymorph of the same formula?
A: CoIrRh2



Copy entry 1 word for word.
Compound: Co2IrRh4
Source: Alexandria
Functional: PBE-GGA
Structure: optimized geometry

Calculated values
Magnetic moment, μB/f.u.: 5.76
Distance to the lowest polymorph of the same formula, meV/atom: 19
N(E_F), states/eV/f.u.: 13.07
Raw total energy, eV/cell: -200.80
Formation energy, eV/atom: 0.33

a b c (Å): 4.371 7.263 12.427
angles (deg): 90.00 90.00 90.00
Space group Cmcm (No. 63)
One atom of each set of equivalent atoms:
Co  0.000  0.154  0.051 x8
Ir  0.000  0.479  0.250 x4
Rh  0.000  0.141  0.250 x4
Rh  0.000  0.192  0.644 x8
Rh  0.000  0.500  0.000 x4